# 1
Below is an optimized crystal structure of Tb4CuRh, with properties calculated at the PBE-GGA level.

a = 9.3994 Å, b = 9.3994 Å, c = 8.0936 Å
α = 90.00°, β = 90.00°, γ = 90.00°
Last column: nearest neighbours and their distance in Å.
Space group I4_1md (No. 109)
Asymmetric unit:
Tb: 0.0000 0.2009 0.0000 [8 per cell]  1 Rh 2.74, 2 Cu 2.79-2.81
Tb: 0.0000 0.2028 0.4886 [8 per cell]  2 Rh 2.74-2.79, 1 Cu 2.82
Cu: 0.0000 0.0000 0.7462 [4 per cell]  6 Tb 2.79-2.82
Rh: 0.0000 0.0000 0.2447 [4 per cell]  6 Tb 2.74-2.79

Calculated formation energy = -1.29 eV per formula unit
N(E_F) = 26.31 states/eV per cell
Crystal system = tetragonal

***

# 2
Below is an optimized crystal structure of PRh2, with properties calculated at the PBE-GGA level.

a = 2.8586 Å, b = 2.8586 Å, c = 9.9191 Å
α = 90.00°, β = 90.00°, γ = 90.00°
Last column: nearest neighbours and their distance in Å.
Space group I4/mmm (No. 139)
Asymmetric unit:
P: 0.0000 0.0000 0.0000 [2 per cell]  8 Rh 2.46
Rh: 0.0000 0.0000 0.3593 [4 per cell]  4 P 2.46

Calculated formation energy = -1.02 eV per formula unit
N(E_F) = 4.45 states/eV per cell
Crystal system = tetragonal

***

# 3
Below is an optimized crystal structure of CsSbRhI2, with properties calculated at the PBE-GGA level.

a = 5.9564 Å, b = 5.9564 Å, c = 5.0134 Å
α = 90.00°, β = 90.00°, γ = 90.00°
Last column: nearest neighbours and their distance in Å.
Space group P4/mmm (No. 123)
Asymmetric unit:
Cs: 0.0000 0.0000 0.0000 [1 per cell]  8 I 3.89, 4 Sb 4.21
Sb: 0.5000 0.5000 0.0000 [1 per cell]  2 Rh 2.51
Rh: 0.5000 0.5000 0.5000 [1 per cell]  2 Sb 2.51
I: 0.0000 0.5000 0.5000 [2 per cell]  2 Rh 2.98

Raw formation energy = -0.40 eV/atom
N(E_F) = 2.36 states/eV per cell
Crystal system = tetragonal

***

# 4
Below is an optimized crystal structure of HoTm2ScRh4, with properties calculated at the PBE-GGA level.

a = 4.7355 Å, b = 4.7355 Å, c = 23.2439 Å
α = 90.00°, β = 90.00°, γ = 120.00°
Last column: nearest neighbours and their distance in Å.
Space group R-3m (No. 166, hexagonal axes)
Asymmetric unit:
Ho: 0.0000 0.0000 0.0000 [3 per cell]  8 Rh 2.92-2.95
Tm: 0.0000 0.0000 0.2481 [6 per cell]  8 Rh 2.82-3.01
Sc: 0.0000 0.0000 0.5000 [3 per cell]  8 Rh 2.85-2.89
Rh: 0.0000 0.0000 0.1269 [6 per cell]  4 Tm 2.82-2.90, 3 Sc 2.89, 1 Ho 2.95
Rh: 0.0000 0.0000 0.3774 [6 per cell]  1 Sc 2.85, 4 Tm 2.90-3.01, 3 Ho 2.92

Calculated formation energy = -7.69 eV per formula unit
N(E_F) = 9.15 states/eV per cell
Crystal system = trigonal

***

# 5
Below is an optimized crystal structure of La5ZnSe4, with properties calculated at the PBE-GGA level.

a = 4.3215 Å, b = 4.3215 Å, c = 30.8560 Å
α = 90.00°, β = 90.00°, γ = 90.00°
Last column: nearest neighbours and their distance in Å.
Space group I4/mmm (No. 139)
Asymmetric unit:
La: 0.0000 0.0000 0.0000 [2 per cell]  4 Zn 3.06, 2 Se 3.11
La: 0.0000 0.0000 0.1992 [4 per cell]  6 Se 3.04-3.08
La: 0.0000 0.0000 0.3981 [4 per cell]  5 Se 3.05-3.06, 1 Zn 3.15
Zn: 0.0000 0.0000 0.5000 [2 per cell]  6 La 3.06-3.15
Se: 0.0000 0.0000 0.1006 [4 per cell]  6 La 3.04-3.11
Se: 0.0000 0.0000 0.2991 [4 per cell]  6 La 3.05-3.08

Raw formation energy = -1.63 eV/atom
N(E_F) = 12.46 states/eV per cell
Crystal system = tetragonal

***

# 6
Below is an optimized crystal structure of CrSiAu2, with properties calculated at the PBE-GGA level.

a = 9.5910 Å, b = 3.4381 Å, c = 4.4665 Å
α = 90.00°, β = 117.27°, γ = 90.00°
Last column: nearest neighbours and their distance in Å.
Space group Cm (No. 8)
Asymmetric unit:
Cr: 0.0000 0.0000 0.0000 [2 per cell]  2 Si 2.55
Si: 0.2211 0.5000 0.2028 [2 per cell]  4 Au 2.52-2.77, 2 Cr 2.55
Au: 0.2138 0.0000 0.7108 [2 per cell]  4 Si 2.77-2.87, 4 Cr 2.88-2.98, 4 Au 2.91-2.96
Au: 0.4373 0.0000 0.4394 [2 per cell]  2 Si 2.52

Raw formation energy = 0.13 eV/atom
N(E_F) = 3.01 states/eV per cell
Crystal system = monoclinic

***

# 7
Below is an optimized crystal structure of TbPm2Sm2Dy, with properties calculated at the PBE-GGA level.

a = 6.6826 Å, b = 17.8485 Å, c = 3.4147 Å
α = 90.00°, β = 90.00°, γ = 90.00°
Last column: nearest neighbours and their distance in Å.
Space group Pnnm (No. 58)
Asymmetric unit:
Tb: 0.0000 0.0000 0.0000 [2 per cell]  2 Pm 3.20, 2 Tb 3.41
Pm: 0.2318 0.3514 0.5000 [4 per cell]  1 Tb 3.20, 4 Sm 3.36-3.50, 2 Pm 3.41, 2 Dy 3.51
Sm: 0.2368 0.1806 0.0000 [4 per cell]  4 Pm 3.36-3.50, 2 Sm 3.41, 1 Tb 3.59
Dy: 0.0000 0.5000 0.0000 [2 per cell]  2 Dy 3.41, 4 Pm 3.51, 4 Tb 3.75

Calculated formation energy = 1.52 eV per formula unit
N(E_F) = 19.34 states/eV per cell
Crystal system = orthorhombic

***

# 8
Below is an optimized crystal structure of Cs2RbSb2, with properties calculated at the PBE-GGA level.

a = 9.4008 Å, b = 9.4008 Å, c = 5.9189 Å
α = 90.00°, β = 90.00°, γ = 90.00°
Last column: nearest neighbours and their distance in Å.
Space group P4/mbm (No. 127)
Asymmetric unit:
Cs: 0.1679 0.3321 0.0000 [4 per cell]  6 Sb 3.97-4.21
Rb: 0.0000 0.0000 0.5000 [2 per cell]  4 Sb 3.83
Sb: 0.1066 0.6066 0.5000 [4 per cell]  1 Sb 2.83

Raw formation energy = -0.35 eV/atom
N(E_F) = 7.29 states/eV per cell
Crystal system = tetragonal